1.
The following is a DFT calculation (PBEsol) of a relaxed Sc2AgCl crystal.

Calculated volume (Å³/atom): 20.90
Calculated density (kg/m3): 4633
E_form (uncorrected) (meV per atom): 210
Final energy (eV per cell): -70.76

Structure (CIF):
```
data_Sc2AgCl
_symmetry_space_group_name_H-M 'F -4 3 m'
_symmetry_Int_Tables_number 216
_symmetry_space_group_name_Hall 'F -4 2 3'
_cell_length_a 6.941
_cell_length_b 6.941
_cell_length_c 6.941
_cell_angle_alpha 90.00
_cell_angle_beta 90.00
_cell_angle_gamma 90.00
loop_
_atom_site_label
_atom_site_fract_x
_atom_site_fract_y
_atom_site_fract_z
Sc1 0.000 0.000 0.000
Sc2 0.250 0.250 0.250
Ag1 0.000 0.000 0.500
Cl1 0.250 0.250 0.750
```

***

2.
The following is a DFT calculation (PBEsol) of a relaxed ZnCu2Ni crystal.

E_form (meV per atom): -79
Calculated volume (Å³/atom): 11.42
Calculated density (kg/m3): 9131
Final energy (eV per cell): -33.44

Structure (CIF):
```
data_ZnCu2Ni
_symmetry_space_group_name_H-M 'C 1 m 1'
_symmetry_Int_Tables_number 8
_cell_length_a 8.334
_cell_length_b 2.570
_cell_length_c 4.347
_cell_angle_alpha 90.00
_cell_angle_beta 101.11
_cell_angle_gamma 90.00
loop_
_symmetry_equiv_pos_as_xyz
'x,y,z'
'x,-y,z'
'x+1/2,y+1/2,z'
'x+1/2,-y+1/2,z'
loop_
_atom_site_label
_atom_site_fract_x
_atom_site_fract_y
_atom_site_fract_z
Zn1 0.000 0.000 0.000
Cu1 0.004 0.500 0.506
Cu2 0.253 0.500 0.265
Ni1 0.252 0.000 0.761
```

***

3.
The following is a DFT calculation (PBEsol) of a relaxed Nb2CrW crystal.

E_form (meV per atom): 58
Calculated volume (Å³/atom): 15.60
Calculated density (kg/m3): 11220
Final energy (eV per cell): -181.84

Structure (CIF):
```
data_Nb2CrW
_symmetry_space_group_name_H-M 'F m -3 m'
_symmetry_Int_Tables_number 225
_symmetry_space_group_name_Hall '-F 4 2 3'
_cell_length_a 6.296
_cell_length_b 6.296
_cell_length_c 6.296
_cell_angle_alpha 90.00
_cell_angle_beta 90.00
_cell_angle_gamma 90.00
loop_
_atom_site_label
_atom_site_fract_x
_atom_site_fract_y
_atom_site_fract_z
Nb1 0.250 0.250 0.250
Cr1 0.000 0.000 0.000
W1 0.000 0.000 0.500
```